A:
5
Lattice="5.984 0.000 0.000 0.000 5.984 0.000 0.000 0.000 5.863" Properties=species:S:1:pos:R:3 comment="SrBSe2Br (GGA-PBE, optimized geometry)" spacegroup=P4/mmm m_tot_mub_per_cell=2.01 pbc="T T T"
Sr 0.000 0.000 0.000
B 2.992 2.992 2.932
Se 0.000 2.992 0.000
Se 2.992 0.000 0.000
Br 0.000 0.000 2.932

B:
5
Lattice="4.557 0.000 0.000 0.000 4.557 0.000 0.000 0.000 5.457" Properties=species:S:1:pos:R:3 comment="SrBSe2Br (GGA-PBE, optimized geometry)" spacegroup=P4/mmm m_tot_mub_per_cell=0.00 pbc="T T T"
Sr 0.000 0.000 0.000
B 2.278 2.278 2.728
Se 0.000 2.278 2.728
Se 2.278 0.000 2.728
Br 2.278 2.278 0.000

So which one is most stable? That would be B, about 1.129 eV/atom below the next structure.

A:
5
Lattice="4.476 0.000 0.000 0.000 4.476 0.000 0.000 0.000 4.504" Properties=species:S:1:pos:R:3 comment="TcBSeBr2 (GGA-PBE, optimized geometry)" spacegroup=P4/mmm m_tot_mub_per_cell=0.00 pbc="T T T"
Tc 0.000 0.000 0.000
B 2.238 2.238 2.252
Se 2.238 2.238 0.000
Br 0.000 2.238 2.252
Br 2.238 0.000 2.252

B:
5
Lattice="5.249 0.000 0.000 0.000 5.249 0.000 0.000 0.000 4.697" Properties=species:S:1:pos:R:3 comment="TcBSeBr2 (GGA-PBE, optimized geometry)" spacegroup=P4/mmm m_tot_mub_per_cell=0.82 pbc="T T T"
Tc 0.000 0.000 0.000
B 2.625 2.625 2.349
Se 0.000 0.000 2.349
Br 0.000 2.625 0.000
Br 2.625 0.000 0.000

So which one is most stable? That would be B, about 0.257 eV/atom below the next structure.